No. 1
# Nd6InBr8

A relaxed Nd6InBr8 crystal (GGA-PBE, Alexandria).

a = 7.2072 Å, b = 7.2072 Å, c = 33.9725 Å
α = 90.00°, β = 90.00°, γ = 120.00°
With the nearest neighbours (Å) after each atom.
Space group R-3 (No. 148, hexagonal axes)
Unique sites:
Nd  0.9998  0.3399  0.4459  5 Br 3.01-3.06, 1 In 3.06
In  0.0000  0.0000  0.5000  6 Nd 3.06
Br  0.0000  0.0000  0.1667  6 Nd 3.01
Br  0.9999  0.3231  0.6091  3 Nd 3.04-3.06

Total DFT energy (no corrections) (Ha/atom): -0.160
Total magnetization (Bohr magnetons per cell): 0.00

No. 2
# Li2Th3Au6

A relaxed Li2Th3Au6 crystal (GGA-PBE, Alexandria).

a = 4.6457 Å, b = 4.6457 Å, c = 22.7475 Å
α = 90.00°, β = 90.00°, γ = 90.00°
With the nearest neighbours (Å) after each atom.
Space group I4/mmm (No. 139)
Unique sites:
Li  0.0000  0.0000  0.0553  4 Au 2.49, 1 Li 2.52
Th  0.0000  0.0000  0.3095  5 Au 2.91-3.18
Th  0.0000  0.0000  0.5000  8 Au 3.17, 8 Li 3.52
Au  0.0000  0.0000  0.1816  1 Li 2.87, 1 Th 2.91, 4 Au 3.05
Au  0.0000  0.5000  0.0948  2 Li 2.49

E_form (eV per atom): -0.49
Total magnetization (Bohr magnetons per cell): 0.00

No. 3
# Y4Ho2ThSc

A relaxed Y4Ho2ThSc crystal (GGA-PBE, Alexandria).

a = 4.9694 Å, b = 4.9918 Å, c = 9.9974 Å
α = 90.00°, β = 90.00°, γ = 90.00°
With the nearest neighbours (Å) after each atom.
Space group Pmmm (No. 47)
Unique sites:
Y  0.0000  0.0000  0.2474  2 Sc 3.51, 4 Ho 3.51-3.54, 4 Y 3.52, 2 Th 3.55
Y  0.5000  0.5000  0.2470  4 Ho 3.50-3.55, 2 Sc 3.51, 4 Y 3.52, 2 Th 3.55
Ho  0.0000  0.5000  0.0000  8 Y 3.50-3.51, 4 Sc 3.52
Ho  0.5000  0.0000  0.5000  4 Th 3.52, 8 Y 3.54-3.55
Th  0.0000  0.5000  0.5000  4 Ho 3.52, 8 Y 3.55
Sc  0.5000  0.0000  0.0000  8 Y 3.51, 4 Ho 3.52

E_form (eV per atom): 0.05
Total magnetization (Bohr magnetons per cell): 0.00

No. 4
# SiHgB2

A relaxed SiHgB2 crystal (GGA-PBE, Alexandria).

a = 6.0019 Å, b = 6.0019 Å, c = 6.0019 Å
α = 90.00°, β = 90.00°, γ = 90.00°
With the nearest neighbours (Å) after each atom.
Space group Fm-3m (No. 225)
Unique sites:
Si  0.0000  0.0000  0.0000  8 B 2.60
Hg  0.0000  0.0000  0.5000  8 B 2.60
B  0.2500  0.2500  0.2500  4 Hg 2.60, 4 Si 2.60

Offset from the most stable computed form (meV per atom): 850
Total magnetization (Bohr magnetons per cell): 0.00

No. 5
# Ba2Ga2Te

A relaxed Ba2Ga2Te crystal (GGA-PBE, Alexandria).

a = 8.5166 Å, b = 8.5166 Å, c = 4.7305 Å
α = 90.00°, β = 90.00°, γ = 90.00°
With the nearest neighbours (Å) after each atom.
Space group P4/mbm (No. 127)
Unique sites:
Ba  0.1922  0.3078  0.0000  6 Ga 3.41-3.54
Ga  0.1040  0.6040  0.5000  1 Ga 2.50
Te  0.0000  0.0000  0.5000  4 Ga 3.49, 8 Ba 3.89

Total DFT energy (no corrections) (Ha/atom): -0.118
Total magnetization (Bohr magnetons per cell): 0.00

No. 6
# La4Sm2Dy3

A relaxed La4Sm2Dy3 crystal (GGA-PBE, Alexandria).

a = 15.5052 Å, b = 5.1795 Å, c = 8.1408 Å
α = 90.00°, β = 108.53°, γ = 90.00°
With the nearest neighbours (Å) after each atom.
Space group C2/m (No. 12)
Unique sites:
La  0.0542  0.0000  0.3318  2 Sm 3.63-3.65, 4 La 3.64-3.68, 6 Dy 3.64-3.68
La  0.2229  0.5000  0.3327  3 Sm 3.63-3.65, 4 Dy 3.65-3.68, 5 La 3.66-3.68
Sm  0.1668  0.0000  0.0001  5 Dy 3.63-3.66, 5 La 3.63-3.65, 2 Sm 3.66
Dy  0.0000  0.5000  0.0000  2 Dy 3.62, 6 La 3.64-3.65, 4 Sm 3.66
Dy  0.1114  0.5000  0.6706  2 Dy 3.62-3.68, 3 Sm 3.63, 7 La 3.64-3.68

Offset from the most stable computed form (meV per atom): 0
E_form (eV per atom): 0.03
Total magnetization (Bohr magnetons per cell): 0.00

No. 7
# MnTePI2

A relaxed MnTePI2 crystal (GGA-PBE, Alexandria).

a = 5.3535 Å, b = 5.3535 Å, c = 5.5533 Å
α = 90.00°, β = 90.00°, γ = 90.00°
With the nearest neighbours (Å) after each atom.
Space group P4/mmm (No. 123)
Unique sites:
Mn  0.0000  0.0000  0.0000  4 Te 3.79, 8 I 3.86
Te  0.5000  0.5000  0.0000  2 P 2.78
P  0.5000  0.5000  0.5000  4 I 2.68, 2 Te 2.78
I  0.0000  0.5000  0.5000  2 P 2.68

Offset from the most stable computed form (meV per atom): 0
Total magnetization (Bohr magnetons per cell): 5.11

No. 8
# AlSb4Au

A relaxed AlSb4Au crystal (GGA-PBE, Alexandria).

a = 8.7298 Å, b = 8.7298 Å, c = 8.7298 Å
α = 90.00°, β = 90.00°, γ = 90.00°
With the nearest neighbours (Å) after each atom.
Space group F-43m (No. 216)
Unique sites:
Al  0.0000  0.0000  0.0000  12 Sb 3.62, 4 Au 3.78
Sb  0.1242  0.1242  0.3758  6 Sb 3.07-3.11
Au  0.2500  0.2500  0.7500  12 Sb 3.62, 4 Al 3.78

Total DFT energy (no corrections) (Ha/atom): -0.127
Total magnetization (Bohr magnetons per cell): 0.00